No. 1
Compound: Sr2Zn3Si
Source: the Alexandria database
Functional: PBE
Structure: relaxed

Calculated values
Raw formation energy: -0.307 eV/atom
Symmetry: Fmmm

abc: 6.2364 6.2364 8.8758
angles: 111.16 111.16 88.42
Closest atoms and distances in Å follow each position.
Atoms (fractional coordinates):
Sr 0.7500 0.2500 0.5000  8 Zn 3.34-3.35, 4 Si 3.38
Sr 0.7617 0.2383 0.0000  10 Zn 3.35-3.39, 2 Si 3.41
Sr 0.2500 0.7500 0.5000  8 Zn 3.34-3.35, 4 Si 3.38
Sr 0.2383 0.7617 0.0000  10 Zn 3.35-3.39, 2 Si 3.41
Zn 0.8253 0.8253 0.1679  1 Si 2.49, 2 Zn 2.57-2.67
Zn 0.6574 0.6574 0.8321  1 Si 2.49, 2 Zn 2.57-2.67
Zn 0.1747 0.1747 0.8321  1 Si 2.49, 2 Zn 2.57-2.67
Zn 0.3426 0.3426 0.1679  1 Si 2.49, 2 Zn 2.57-2.67
Zn 0.1714 0.1714 0.3428  1 Si 2.50, 2 Zn 2.67
Zn 0.8286 0.8286 0.6572  1 Si 2.50, 2 Zn 2.67
Si 0.6656 0.6656 0.3311  3 Zn 2.49-2.50
Si 0.3344 0.3344 0.6689  3 Zn 2.49-2.50



No. 2
Compound: HoPuInRu
Source: the Alexandria database
Functional: PBE
Structure: relaxed

Calculated values
Formation enthalpy at 0 K: -0.49 eV/f.u.
Symmetry: F-43m
Excess energy over the best structure of this formula in the dataset: 189 meV per atom

abc: 5.0520 5.0520 5.0520
angles: 60.00 60.00 60.00
Closest atoms and distances in Å follow each position.
Atoms (fractional coordinates):
Ru 0.2500 0.2500 0.2500  4 Ho 3.09, 4 Pu 3.09
In 0.7500 0.7500 0.7500  4 Pu 3.09, 4 Ho 3.09
Ho 0.0000 0.0000 0.0000  4 Ru 3.09, 4 In 3.09
Pu 0.5000 0.5000 0.5000  4 In 3.09, 4 Ru 3.09